{
  "formula": "CuNi3N",
  "functional": "GGA-PBE",
  "state": "relaxed",
  "formation_energy_uncorrected_kj_per_mol_atoms": 7.2,
  "dft_energy_ev_per_atom": -5.878,
  "dos_ef_per_ev_cell": 5.9,
  "polymorph_energy_mev_per_atom": 85,
  "crystal_system": "triclinic",
  "total_magnetization_mub_per_fu": 0.0,
  "lattice_angstrom": [[-4.1363, 2.5313, 2.1249], [-1.9481, -3.9287, -2.3835], [1.7075, -0.8155, 4.1639]],
  "species": ["Ni", "Ni", "Ni", "Ni", "Ni", "Ni", "Cu", "Cu", "N", "N"],
  "fractional_positions": [[0.5520, 0.5589, 0.5903], [0.1757, 0.0548, 0.5043], [0.9197, 0.0558, 0.0083], [0.2928, 0.5587, 0.0827], [0.6695, 0.0537, 0.4987], [0.0418, 0.5502, 0.5846], [0.7852, 0.5682, 0.0965], [0.4261, 0.0707, 0.0294], [0.9826, 0.2895, 0.7856], [0.3595, 0.7922, 0.5353]]
}

=====

{
  "formula": "CuNi3N",
  "functional": "GGA-PBE",
  "state": "relaxed",
  "formation_energy_uncorrected_kj_per_mol_atoms": 40.1,
  "dft_energy_ev_per_atom": -5.538,
  "dos_ef_per_ev_cell": 13.9,
  "polymorph_energy_mev_per_atom": 426,
  "crystal_system": "tetragonal",
  "total_magnetization_mub_per_fu": 0.1,
  "lattice_angstrom": [[-0.3260, 0.7127, 4.8548], [3.6580, -3.2077, 0.7166], [4.9700, 2.4487, 2.4650]],
  "species": ["Ni", "Ni", "Ni", "Ni", "Ni", "Ni", "Cu", "Cu", "N", "N"],
  "fractional_positions": [[0.6309, 0.8638, 0.2724], [0.1362, 0.3691, 0.7276], [0.1362, 0.9032, 0.7276], [0.0968, 0.8638, 0.2724], [0.3686, 0.3686, 0.2628], [0.6314, 0.6314, 0.7372], [0.6188, 0.1188, 0.7624], [0.8812, 0.3812, 0.2376], [0.0000, 0.0000, 0.0000], [0.2500, 0.7500, 0.5000]]
}

=====

{
  "formula": "CuNi3N",
  "functional": "GGA-PBE",
  "state": "relaxed",
  "formation_energy_uncorrected_kj_per_mol_atoms": 26.7,
  "dft_energy_ev_per_atom": -5.677,
  "dos_ef_per_ev_cell": 7.1,
  "polymorph_energy_mev_per_atom": 287,
  "crystal_system": "monoclinic",
  "total_magnetization_mub_per_fu": 0.0,
  "lattice_angstrom": [[-3.5736, 5.1357, -15.3311], [0.5478, 4.3730, -5.9724], [1.8770, -4.9316, 5.2201]],
  "species": ["Ni", "Ni", "Ni", "Ni", "Ni", "Ni", "Cu", "Cu", "N", "N"],
  "fractional_positions": [[0.8228, 0.2243, 0.7757], [0.1772, 0.7757, 0.2243], [0.1458, 0.1416, 0.8584], [0.8542, 0.8584, 0.1416], [0.5038, 0.6701, 0.3299], [0.4962, 0.3299, 0.6701], [0.8430, 0.0367, 0.9633], [0.1570, 0.9633, 0.0367], [0.6823, 0.9373, 0.0627], [0.3177, 0.0627, 0.9373]]
}